The following is a DFT calculation (PBE) of a relaxed VCo2Si crystal.

For the energy relative to the elements, uncorrected, the calculation gives 0.077 eV/atom. The crystal system is tetragonal. For the density of states at the Fermi level, the calculation gives 4.0 states/eV/f.u.

The structure belongs to space group I-42d (No. 122); the cell edges are 3.589, 3.589 and 15.689 Å and the angles 90.00°, 90.00° and 90.00°. The asymmetric unit holds V at (0.000, 0.000, 0.000), Co at (0.236, 0.250, 0.625) and Si at (0.000, 0.000, 0.500).

***

The following is a DFT calculation (PBE) of a relaxed VCoSi crystal.

For the energy relative to the elements, uncorrected, the calculation gives -0.091 eV/atom. The crystal system is trigonal. For the density of states at the Fermi level, the calculation gives 2.9 states/eV/f.u.

The structure belongs to space group R-3m (No. 166, hexagonal axes); the cell edges are 3.7966, 3.7966 and 19.6848 Å and the angles 90.00°, 90.00° and 120.00°. The asymmetric unit holds V at (0.0000, 0.0000, 0.1303), Co at (0.0000, 0.0000, 0.3764) and Si at (0.0000, 0.0000, 0.2620).